The following is a PBE-GGA calculation of a relaxed NiAs crystal, from Alexandria.

a = 4.3899 Å, b = 4.0386 Å, c = 11.6485 Å
α = 90.00°, β = 90.00°, γ = 90.00°
With the nearest neighbours (Å) after each atom.
Fractional positions:
As  0.0000  0.8574  0.1256  4 Ni 2.32-2.39
As  0.5000  0.1426  0.6256  4 Ni 2.32-2.39
Ni  0.0000  0.0029  0.3186  4 As 2.32-2.36
As  0.0000  0.7641  0.5000  4 Ni 2.28-2.32
Ni  0.0000  0.3908  0.0000  4 As 2.28-2.39
Ni  0.5000  0.9971  0.1814  4 As 2.32-2.36
As  0.5000  0.2359  0.0000  4 Ni 2.28-2.32
As  0.0000  0.8574  0.8744  4 Ni 2.32-2.39
As  0.5000  0.1426  0.3744  4 Ni 2.32-2.39
Ni  0.5000  0.9971  0.8186  4 As 2.32-2.36
Ni  0.0000  0.0029  0.6814  4 As 2.32-2.36
Ni  0.5000  0.6092  0.5000  4 As 2.28-2.39

## Properties
- Final energy: -5.27 eV per atom
- DFT formation energy: -0.058 eV per atom
- Symmetry: Pmmn, No. 59